No. 1
DFT (PBE-GGA) results for a relaxed AcZnIn4 crystal.

```
AcZnIn4
1.0
0.000 4.399 4.399
4.399 0.000 4.399
4.399 4.399 0.000
Ac Zn In
1 1 4
Direct
0.000 0.000 0.000 Ac
0.250 0.250 0.250 Zn
0.126 0.625 0.625 In
0.625 0.126 0.625 In
0.625 0.625 0.126 In
0.625 0.625 0.625 In
```

Output
Its space-group type is F-43m (216). The calculation puts the energy at -16.85 eV per formula unit.



No. 2
DFT (PBE-GGA) results for a relaxed Nb2VSi crystal.

```
Nb2VSi
1.0
-3.533 3.533 2.717
3.533 -3.533 2.717
3.533 3.533 -2.717
Nb V Si
4 2 2
Direct
0.117 0.625 0.992 Nb
0.375 0.367 0.492 Nb
0.633 0.125 0.008 Nb
0.875 0.883 0.508 Nb
0.250 0.750 0.500 V
0.500 0.500 0.000 V
0.000 0.000 0.000 Si
0.750 0.250 0.500 Si
```

Output
Its space-group type is I-42d (122). The calculation puts the energy at -33.36 eV per formula unit.



No. 3
DFT (PBE-GGA) results for a relaxed ZnGaSe2Br crystal.

```
ZnGaSe2Br
1.0
4.891 0.000 0.000
0.000 4.891 0.000
0.000 0.000 5.581
Zn Ga Se Br
1 1 2 1
Direct
0.000 0.000 0.000 Zn
0.500 0.500 0.500 Ga
0.000 0.500 0.000 Se
0.500 0.000 0.000 Se
0.000 0.000 0.500 Br
```

Output
Its space-group type is P4/mmm (123). The calculation puts the energy at -12.84 eV per formula unit.



No. 4
DFT (PBE-GGA) results for a relaxed Sc2CrSnC crystal.

```
Sc2CrSnC
1.0
4.577 0.000 0.000
0.000 4.577 0.000
0.000 0.000 3.899
Sc Cr Sn C
2 1 1 1
Direct
0.000 0.500 0.000 Sc
0.500 0.000 0.000 Sc
0.000 0.000 0.500 Cr
0.500 0.500 0.500 Sn
0.000 0.000 0.000 C
```

Output
Its space-group type is P4/mmm (123). The calculation puts the energy at -37.83 eV per formula unit.